! BaScSi2, optimized geometry, DFT PBE; values from VASP
! - Spin magnetization: 0.1 μB/f.u.
! - Energy relative to the lowest polymorph listed for this composition: 13 meV per atom
! - Energy: -5.200 eV per atom
! - Energy relative to the elements, uncorrected: -0.425 eV per atom
! - N(E_F): 0.74 states/eV/atom
! - Symmetry: Amm2, No. 38
&SYSTEM
  ibrav = 0, nat = 4, ntyp = 3
/
ATOMIC_SPECIES
Ba 137.33 Ba.upf
Sc 44.96 Sc.upf
Si 28.09 Si.upf
CELL_PARAMETERS angstrom
3.8226 0.0000 0.0000
0.0000 2.1190 6.5156
0.0000 -2.1190 6.5156
ATOMIC_POSITIONS crystal
Ba 0.0000 0.0000 0.0000
Sc 0.5000 0.2607 0.2607
Si 0.0000 0.7412 0.7412
Si 0.5000 0.6245 0.6245